(1)
The following is a PBE-GGA calculation of a relaxed Mg2BIr3 crystal, from Alexandria via LeMat-Bulk.

Lattice parameters (Å, degrees): 4.659 4.659 4.659 69.78 69.78 69.78
Atoms (fractional coordinates):
Mg (0.124, 0.124, 0.124)
Mg (0.876, 0.876, 0.876)
B (0.500, 0.500, 0.500)
Ir (0.000, 0.500, 0.500)
Ir (0.500, 0.000, 0.500)
Ir (0.500, 0.500, 0.000)

Computed properties:
- SG: R-3m, No. 166
- Energy of formation: -1.3 eV/f.u.

***

(2)
The following is a PBE-GGA calculation of a relaxed Nd5Ag2Ir2 crystal, from Alexandria via LeMat-Bulk.

Lattice parameters (Å, degrees): 10.955 10.955 10.955 54.12 145.24 139.87
Atoms (fractional coordinates):
Nd (0.165, 0.076, 0.241)
Nd (0.165, 0.424, 0.590)
Nd (0.203, 0.523, 0.001)
Nd (0.203, 0.702, 0.180)
Nd (0.522, 0.023, 0.820)
Nd (0.522, 0.202, 0.999)
Nd (0.574, 0.472, 0.602)
Nd (0.835, 0.576, 0.410)
Nd (0.835, 0.924, 0.759)
Nd (0.871, 0.972, 0.398)
Ag (0.534, 0.101, 0.321)
Ag (0.534, 0.713, 0.933)
Ag (0.780, 0.213, 0.679)
Ag (0.780, 0.601, 0.067)
Ir (0.015, 0.313, 0.202)
Ir (0.111, 0.813, 0.798)
Ir (0.299, 0.299, 0.000)
Ir (0.299, 0.799, 0.500)

Computed properties:
- SG: Ima2, No. 46
- Energy of formation: -3.4 eV/f.u.

***

(3)
The following is a PBE-GGA calculation of a relaxed CsGa3C crystal, from Alexandria via LeMat-Bulk.

Lattice parameters (Å, degrees): 4.919 4.919 4.919 90.00 90.00 90.00
Atoms (fractional coordinates):
Cs (0.000, 0.000, 0.000)
Ga (0.000, 0.500, 0.500)
Ga (0.500, 0.000, 0.500)
Ga (0.500, 0.500, 0.000)
C (0.500, 0.500, 0.500)

Computed properties:
- SG: Pm-3m, No. 221
- Energy of formation: 5.0 eV/f.u.

***

(4)
The following is a PBE-GGA calculation of a relaxed CaHo4In5 crystal, from Alexandria via LeMat-Bulk.

Lattice parameters (Å, degrees): 3.743 3.743 19.091 90.00 90.00 90.00
Atoms (fractional coordinates):
Ca (0.000, 0.000, 0.000)
Ho (0.000, 0.000, 0.204)
Ho (0.000, 0.000, 0.402)
Ho (0.000, 0.000, 0.598)
Ho (0.000, 0.000, 0.796)
In (0.500, 0.500, 0.106)
In (0.500, 0.500, 0.303)
In (0.500, 0.500, 0.500)
In (0.500, 0.500, 0.697)
In (0.500, 0.500, 0.894)

Computed properties:
- SG: P4/mmm, No. 123
- Energy of formation: -4.5 eV/f.u.

***

(5)
The following is a PBE-GGA calculation of a relaxed ZrPdCl2 crystal, from Alexandria via LeMat-Bulk.

Lattice parameters (Å, degrees): 8.698 8.698 8.698 21.59 21.59 21.59
Atoms (fractional coordinates):
Zr (0.000, 0.000, 0.000)
Pd (0.500, 0.500, 0.500)
Cl (0.406, 0.406, 0.406)
Cl (0.594, 0.594, 0.594)

Computed properties:
- VASP energy: -20.6 eV per formula unit
- SG: R-3m, No. 166

***

(6)
The following is a PBE-GGA calculation of a relaxed AcHN crystal, from Alexandria via LeMat-Bulk.

Lattice parameters (Å, degrees): 4.228 4.228 4.228 60.00 60.00 60.00
Atoms (fractional coordinates):
Ac (0.000, 0.000, 0.000)
H (0.750, 0.750, 0.750)
N (0.250, 0.250, 0.250)

Computed properties:
- VASP energy: -17.0 eV per formula unit
- SG: F-43m, No. 216

***

(7)
The following is a PBE-GGA calculation of a relaxed SrSi2Sn2 crystal, from Alexandria via LeMat-Bulk.

Lattice parameters (Å, degrees): 6.601 6.601 6.601 137.15 137.15 62.21
Atoms (fractional coordinates):
Sr (0.000, 0.000, 0.000)
Si (0.394, 0.394, 0.000)
Si (0.606, 0.606, 0.000)
Sn (0.250, 0.750, 0.500)
Sn (0.750, 0.250, 0.500)

Computed properties:
- VASP energy: -20.8 eV per formula unit
- SG: I4/mmm, No. 139

***

(8)
The following is a PBE-GGA calculation of a relaxed Np2SnF8 crystal, from Alexandria via LeMat-Bulk.

Lattice parameters (Å, degrees): 7.763 7.763 5.881 110.25 110.25 29.25
Atoms (fractional coordinates):
Np (0.175, 0.175, 0.181)
Np (0.825, 0.825, 0.819)
Sn (0.500, 0.500, 0.500)
F (0.038, 0.038, 0.292)
F (0.211, 0.211, 0.820)
F (0.320, 0.320, 0.548)
F (0.400, 0.400, 0.051)
F (0.600, 0.600, 0.949)
F (0.680, 0.680, 0.452)
F (0.789, 0.789, 0.180)
F (0.962, 0.962, 0.708)

Computed properties:
- VASP energy: -78.9 eV per formula unit
- SG: C2/m, No. 12